## Rb5Ti2O6 (PBE-GGA)

Data for crystalline Rb5Ti2O6 at its relaxed geometry. Values from VASP.

The density of states at the Fermi level comes out at 1.58 states/eV/f.u. As for the total energy: -5.9718 eV per atom. The energy relative to the elements, uncorrected comes out at -2.0967 eV/atom. The size of the total moment is 0.22 μB per formula unit.

The structure in Quantum ESPRESSO input format:
```
&SYSTEM
  ibrav = 0, nat = 26, ntyp = 3
/
ATOMIC_SPECIES
Rb 85.47 Rb.upf
Ti 47.87 Ti.upf
O 16.00 O.upf
ATOMIC_POSITIONS crystal
Rb 0.000 0.000 0.000
Rb 0.127 0.478 0.000
Rb 0.223 0.733 0.000
Rb 0.277 0.233 0.000
Rb 0.373 0.978 0.000
Rb 0.500 0.500 0.000
Rb 0.627 0.022 0.000
Rb 0.723 0.767 0.000
Rb 0.777 0.267 0.000
Rb 0.873 0.522 0.000
Ti 0.018 0.269 0.500
Ti 0.482 0.769 0.500
Ti 0.518 0.231 0.500
Ti 0.982 0.731 0.500
O 0.001 0.205 0.000
O 0.070 0.634 0.500
O 0.141 0.319 0.500
O 0.359 0.819 0.500
O 0.430 0.134 0.500
O 0.499 0.705 0.000
O 0.501 0.295 0.000
O 0.570 0.866 0.500
O 0.641 0.181 0.500
O 0.859 0.681 0.500
O 0.930 0.366 0.500
O 0.999 0.795 0.000
CELL_PARAMETERS angstrom
13.293 0.000 0.000
0.000 13.856 0.000
0.000 0.000 3.515
```